# 1
{"formula": "Co2IrPt", "functional": "PBEsol", "state": "optimized geometry", "sg": "Amm2 (38)", "crystal_system": "orthorhombic", "dft_energy_ev_per_atom": -8.020, "polymorph_energy_mev_per_atom": 40, "cell": [[-1.3103, 0.7345, 2.1638], [-1.1296, -3.7761, 0.5978], [4.6017, -1.1287, 1.5663]], "species": ["Ir", "Co", "Co", "Pt"], "frac_coords": [[0.0808, 0.0000, 0.1616], [0.8121, 0.0000, 0.6241], [0.6822, 0.5000, 0.3643], [0.4203, 0.5000, 0.8405]]}

---

# 2
{"formula": "CoIrPt", "functional": "PBEsol", "state": "optimized geometry", "sg": "I4mm (107)", "crystal_system": "tetragonal", "dft_energy_ev_per_atom": -8.152, "polymorph_energy_mev_per_atom": 0, "cell": [[2.6761, 0.0000, 0.0000], [0.0000, 2.6761, 0.0000], [-1.3381, -1.3381, 5.5293]], "species": ["Co", "Pt", "Ir"], "frac_coords": [[0.0045, 0.0045, 0.0091], [0.3393, 0.3393, 0.6786], [0.6562, 0.6562, 0.3123]]}

---

# 3
{"formula": "RbCoIr2", "functional": "PBEsol", "state": "optimized geometry", "sg": "I4_1/amd (141)", "crystal_system": "tetragonal", "dft_energy_ev_per_atom": -5.906, "cell": [[-3.3322, 3.0369, 2.0589], [-2.6217, -3.9165, 1.5340], [7.0889, 0.3473, 4.9951]], "species": ["Ir", "Ir", "Ir", "Ir", "Co", "Co", "Rb", "Rb"], "frac_coords": [[0.6250, 0.3750, 0.2500], [0.6250, 0.8750, 0.2500], [0.6250, 0.3750, 0.7500], [0.1250, 0.3750, 0.7500], [0.5000, 0.5000, 0.0000], [0.7500, 0.2500, 0.5000], [0.0000, 0.0000, 0.0000], [0.2500, 0.7500, 0.5000]]}

---

# 4
{"formula": "CoRe2Ir", "functional": "PBEsol", "state": "optimized geometry", "sg": "R-3m (166)", "crystal_system": "trigonal", "dft_energy_ev_per_atom": -11.008, "polymorph_energy_mev_per_atom": 219, "cell": [[-1.3704, 0.2586, -2.2896], [0.3729, -1.7561, -1.9910], [-6.6322, -5.4745, 1.7818]], "species": ["Ir", "Co", "Re", "Re"], "frac_coords": [[0.0000, 0.0000, 0.0000], [0.5000, 0.5000, 0.5000], [0.7537, 0.7537, 0.7389], [0.2463, 0.2463, 0.2611]]}

---

For the records above, the corresponding energy relative to the elements values read 0.2, 0.1, 4.8, 0.2 eV/f.u..